# 1
DFT (PBE with a Hubbard U) results for crystalline Li2TiV2O6 at its relaxed geometry.

Results
Space-group type = No. 64
Excess energy over the best structure of this formula in the dataset = 50 meV per atom

```
Li2TiV2O6
1.0
4.466 -2.628 0.000
4.466 2.628 0.000
0.000 0.000 10.229
Li Ti V O
4 2 4 12
Direct
0.124 0.376 0.250 Li
0.376 0.124 0.750 Li
0.624 0.876 0.250 Li
0.876 0.624 0.750 Li
0.000 0.000 0.000 Ti
0.500 0.500 0.500 Ti
0.162 0.162 0.500 V
0.338 0.338 0.000 V
0.662 0.662 0.000 V
0.838 0.838 0.500 V
0.017 0.320 0.893 O
0.178 0.822 0.401 O
0.180 0.483 0.607 O
0.320 0.017 0.107 O
0.322 0.678 0.901 O
0.483 0.180 0.393 O
0.517 0.820 0.607 O
0.678 0.322 0.099 O
0.680 0.983 0.893 O
0.820 0.517 0.393 O
0.822 0.178 0.599 O
0.983 0.680 0.107 O
```

***

# 2
DFT (PBE with a Hubbard U) results for crystalline LiTiV3O8 at its relaxed geometry.

Results
Space-group type = No. 2
Excess energy over the best structure of this formula in the dataset = 2 meV per atom

```
LiTiV3O8
1.0
5.919 0.000 0.000
-2.822 5.231 0.000
-2.895 -1.811 5.030
Li Ti V O
1 1 3 8
Direct
0.000 0.000 0.000 Li
0.500 0.500 0.500 Ti
0.000 0.000 0.500 V
0.000 0.500 0.500 V
0.500 0.000 0.500 V
0.037 0.785 0.299 O
0.044 0.261 0.300 O
0.469 0.232 0.696 O
0.473 0.741 0.700 O
0.527 0.259 0.300 O
0.531 0.768 0.304 O
0.956 0.739 0.700 O
0.963 0.215 0.701 O
```

***

# 3
DFT (PBE with a Hubbard U) results for crystalline Li4TiV3O8 at its relaxed geometry.

Results
Space-group type = No. 12
E = -7.09 eV/atom

```
Li4TiV3O8
1.0
5.151 -3.011 0.000
5.151 3.011 0.000
-3.470 0.000 4.911
Li Ti V O
4 1 3 8
Direct
0.000 0.000 0.000 Li
0.000 0.500 0.000 Li
0.500 0.000 0.000 Li
0.500 0.500 0.000 Li
0.000 0.000 0.500 Ti
0.000 0.500 0.500 V
0.500 0.000 0.500 V
0.500 0.500 0.500 V
0.231 0.757 0.730 O
0.238 0.238 0.734 O
0.243 0.769 0.270 O
0.250 0.250 0.272 O
0.750 0.750 0.728 O
0.757 0.231 0.730 O
0.762 0.762 0.266 O
0.769 0.243 0.270 O
```